#A
# Cs4KAu2 | Alexandria | PBE | optimized geometry
data_Cs4KAu2
_symmetry_space_group_name_H-M 'P 1'
_symmetry_Int_Tables_number 1
_symmetry_space_group_name_Hall 'P 1'
_cell_length_a 7.5746
_cell_length_b 7.5746
_cell_length_c 18.9041
_cell_angle_alpha 90.00
_cell_angle_beta 90.00
_cell_angle_gamma 90.00
loop_
_atom_site_label
_atom_site_type_symbol
_atom_site_fract_x
_atom_site_fract_y
_atom_site_fract_z
_atom_site_occupancy
Cs1 Cs 0.0000 0.0000 0.2473 1
Cs2 Cs 0.0000 0.0000 0.7527 1
Cs3 Cs 0.0000 0.5000 0.0000 1
Cs4 Cs 0.0000 0.5000 0.5000 1
Cs5 Cs 0.5000 0.0000 0.0000 1
Cs6 Cs 0.5000 0.0000 0.5000 1
Cs7 Cs 0.5000 0.5000 0.2527 1
Cs8 Cs 0.5000 0.5000 0.7473 1
K1 K 0.0000 0.0000 0.0000 1
K2 K 0.5000 0.5000 0.5000 1
Au1 Au 0.0000 0.0000 0.4263 1
Au2 Au 0.0000 0.0000 0.5737 1
Au3 Au 0.5000 0.5000 0.0737 1
Au4 Au 0.5000 0.5000 0.9263 1
# M_tot ... 0.00 μB/cell

#B
# Cs4KAu2 | Alexandria | PBE | optimized geometry
data_Cs4KAu2
_symmetry_space_group_name_H-M 'P 1'
_symmetry_Int_Tables_number 1
_symmetry_space_group_name_Hall 'P 1'
_cell_length_a 12.5357
_cell_length_b 12.5357
_cell_length_c 12.5357
_cell_angle_alpha 29.16
_cell_angle_beta 29.16
_cell_angle_gamma 29.16
loop_
_atom_site_label
_atom_site_type_symbol
_atom_site_fract_x
_atom_site_fract_y
_atom_site_fract_z
_atom_site_occupancy
Cs1 Cs 0.1000 0.1000 0.1000 1
Cs2 Cs 0.2980 0.2980 0.2980 1
Cs3 Cs 0.7020 0.7020 0.7020 1
Cs4 Cs 0.9000 0.9000 0.9000 1
K1 K 0.5000 0.5000 0.5000 1
Au1 Au 0.4023 0.4023 0.4023 1
Au2 Au 0.5977 0.5977 0.5977 1
# M_tot ... 0.62 μB/cell

Result of the stability comparison: #A is the least stable of them.

#A
# Cs3K2Au2 | Alexandria | PBE | optimized geometry
data_Cs3K2Au2
_symmetry_space_group_name_H-M 'P 1'
_symmetry_Int_Tables_number 1
_symmetry_space_group_name_Hall 'P 1'
_cell_length_a 16.8356
_cell_length_b 4.7117
_cell_length_c 12.0785
_cell_angle_alpha 90.00
_cell_angle_beta 120.90
_cell_angle_gamma 90.00
loop_
_atom_site_label
_atom_site_type_symbol
_atom_site_fract_x
_atom_site_fract_y
_atom_site_fract_z
_atom_site_occupancy
Cs1 Cs 0.0000 0.0000 0.0000 1
Cs2 Cs 0.1149 0.0000 0.4238 1
Cs3 Cs 0.3851 0.5000 0.5762 1
Cs4 Cs 0.5000 0.5000 0.0000 1
Cs5 Cs 0.6149 0.5000 0.4238 1
Cs6 Cs 0.8851 0.0000 0.5762 1
K1 K 0.2003 0.5000 0.8121 1
K2 K 0.2997 0.0000 0.1879 1
K3 K 0.7003 0.0000 0.8121 1
K4 K 0.7997 0.5000 0.1879 1
Au1 Au 0.1777 0.5000 0.2497 1
Au2 Au 0.3223 0.0000 0.7503 1
Au3 Au 0.6777 0.0000 0.2497 1
Au4 Au 0.8223 0.5000 0.7503 1
# M_tot ... 0.00 μB/cell

#B
# Cs3K2Au2 | Alexandria | PBE | optimized geometry
data_Cs3K2Au2
_symmetry_space_group_name_H-M 'P 1'
_symmetry_Int_Tables_number 1
_symmetry_space_group_name_Hall 'P 1'
_cell_length_a 16.3642
_cell_length_b 5.2648
_cell_length_c 9.3752
_cell_angle_alpha 90.00
_cell_angle_beta 100.11
_cell_angle_gamma 90.00
loop_
_atom_site_label
_atom_site_type_symbol
_atom_site_fract_x
_atom_site_fract_y
_atom_site_fract_z
_atom_site_occupancy
Cs1 Cs 0.0000 0.0000 0.0000 1
Cs2 Cs 0.2090 0.5000 0.2936 1
Cs3 Cs 0.2910 0.0000 0.7064 1
Cs4 Cs 0.5000 0.5000 0.0000 1
Cs5 Cs 0.7090 0.0000 0.2936 1
Cs6 Cs 0.7910 0.5000 0.7064 1
K1 K 0.0690 0.5000 0.6706 1
K2 K 0.4310 0.0000 0.3294 1
K3 K 0.5690 0.0000 0.6706 1
K4 K 0.9310 0.5000 0.3294 1
Au1 Au 0.0725 0.0000 0.4280 1
Au2 Au 0.4275 0.5000 0.5720 1
Au3 Au 0.5725 0.5000 0.4280 1
Au4 Au 0.9275 0.0000 0.5720 1
# M_tot ... 0.00 μB/cell

Result of the stability comparison: #B is the least stable of them.

#A
# CsKAu4 | Alexandria | PBE | optimized geometry
data_CsKAu4
_symmetry_space_group_name_H-M 'P 1'
_symmetry_Int_Tables_number 1
_symmetry_space_group_name_Hall 'P 1'
_cell_length_a 5.9848
_cell_length_b 5.9848
_cell_length_c 5.9848
_cell_angle_alpha 60.00
_cell_angle_beta 60.00
_cell_angle_gamma 60.00
loop_
_atom_site_label
_atom_site_type_symbol
_atom_site_fract_x
_atom_site_fract_y
_atom_site_fract_z
_atom_site_occupancy
Cs1 Cs 0.0000 0.0000 0.0000 1
K1 K 0.7500 0.7500 0.7500 1
Au1 Au 0.3755 0.3755 0.3755 1
Au2 Au 0.3755 0.3755 0.8734 1
Au3 Au 0.3755 0.8734 0.3755 1
Au4 Au 0.8734 0.3755 0.3755 1
# M_tot ... 0.00 μB/cell

#B
# CsKAu4 | Alexandria | PBE | optimized geometry
data_CsKAu4
_symmetry_space_group_name_H-M 'P 1'
_symmetry_Int_Tables_number 1
_symmetry_space_group_name_Hall 'P 1'
_cell_length_a 4.6702
_cell_length_b 8.3147
_cell_length_c 9.9275
_cell_angle_alpha 90.00
_cell_angle_beta 90.00
_cell_angle_gamma 90.00
loop_
_atom_site_label
_atom_site_type_symbol
_atom_site_fract_x
_atom_site_fract_y
_atom_site_fract_z
_atom_site_occupancy
Cs1 Cs 0.0000 0.0000 0.0000 1
Cs2 Cs 0.5000 0.5000 0.5000 1
K1 K 0.0000 0.0000 0.5000 1
K2 K 0.5000 0.5000 0.0000 1
Au1 Au 0.0000 0.3360 0.2418 1
Au2 Au 0.0000 0.3360 0.7582 1
Au3 Au 0.0000 0.6640 0.2418 1
Au4 Au 0.0000 0.6640 0.7582 1
Au5 Au 0.5000 0.1640 0.2582 1
Au6 Au 0.5000 0.1640 0.7418 1
Au7 Au 0.5000 0.8360 0.2582 1
Au8 Au 0.5000 0.8360 0.7418 1
# M_tot ... 0.00 μB/cell

Result of the stability comparison: #A is the least stable of them.

#A
# Cs2K3Au2 | Alexandria | PBE | optimized geometry
data_Cs2K3Au2
_symmetry_space_group_name_H-M 'P 1'
_symmetry_Int_Tables_number 1
_symmetry_space_group_name_Hall 'P 1'
_cell_length_a 16.2246
_cell_length_b 4.9364
_cell_length_c 9.5549
_cell_angle_alpha 90.00
_cell_angle_beta 98.98
_cell_angle_gamma 90.00
loop_
_atom_site_label
_atom_site_type_symbol
_atom_site_fract_x
_atom_site_fract_y
_atom_site_fract_z
_atom_site_occupancy
Cs1 Cs 0.1134 0.0000 0.3870 1
Cs2 Cs 0.3866 0.5000 0.6130 1
Cs3 Cs 0.6134 0.5000 0.3870 1
Cs4 Cs 0.8866 0.0000 0.6130 1
K1 K 0.0000 0.5000 0.0000 1
K2 K 0.1712 0.0000 0.8286 1
K3 K 0.3288 0.5000 0.1714 1
K4 K 0.5000 0.0000 0.0000 1
K5 K 0.6712 0.5000 0.8286 1
K6 K 0.8288 0.0000 0.1714 1
Au1 Au 0.0526 0.5000 0.6420 1
Au2 Au 0.4474 0.0000 0.3580 1
Au3 Au 0.5526 0.0000 0.6420 1
Au4 Au 0.9474 0.5000 0.3580 1
# M_tot ... 0.00 μB/cell

#B
# Cs2K3Au2 | Alexandria | PBE | optimized geometry
data_Cs2K3Au2
_symmetry_space_group_name_H-M 'P 1'
_symmetry_Int_Tables_number 1
_symmetry_space_group_name_Hall 'P 1'
_cell_length_a 14.3840
_cell_length_b 5.1322
_cell_length_c 10.1233
_cell_angle_alpha 90.00
_cell_angle_beta 112.31
_cell_angle_gamma 90.00
loop_
_atom_site_label
_atom_site_type_symbol
_atom_site_fract_x
_atom_site_fract_y
_atom_site_fract_z
_atom_site_occupancy
Cs1 Cs 0.1555 0.0000 0.3117 1
Cs2 Cs 0.3445 0.5000 0.6883 1
Cs3 Cs 0.6555 0.5000 0.3117 1
Cs4 Cs 0.8445 0.0000 0.6883 1
K1 K 0.0000 0.5000 0.5000 1
K2 K 0.1357 0.5000 0.9319 1
K3 K 0.3643 0.0000 0.0681 1
K4 K 0.5000 0.0000 0.5000 1
K5 K 0.6357 0.0000 0.9319 1
K6 K 0.8643 0.5000 0.0681 1
Au1 Au 0.1578 0.0000 0.7064 1
Au2 Au 0.3422 0.5000 0.2936 1
Au3 Au 0.6578 0.5000 0.7064 1
Au4 Au 0.8422 0.0000 0.2936 1
# M_tot ... 0.00 μB/cell

Result of the stability comparison: #B is the least stable of them.

#A
# Cs2KLiAu | Alexandria | PBE | optimized geometry
data_Cs2KLiAu
_symmetry_space_group_name_H-M 'P 1'
_symmetry_Int_Tables_number 1
_symmetry_space_group_name_Hall 'P 1'
_cell_length_a 7.2509
_cell_length_b 7.2509
_cell_length_c 5.4258
_cell_angle_alpha 90.00
_cell_angle_beta 90.00
_cell_angle_gamma 90.00
loop_
_atom_site_label
_atom_site_type_symbol
_atom_site_fract_x
_atom_site_fract_y
_atom_site_fract_z
_atom_site_occupancy
Cs1 Cs 0.0000 0.5000 0.0000 1
Cs2 Cs 0.5000 0.0000 0.0000 1
K1 K 0.0000 0.0000 0.5000 1
Li1 Li 0.5000 0.5000 0.5000 1
Au1 Au 0.5000 0.5000 0.0000 1
# M_tot ... 0.02 μB/cell

#B
# Cs2KLiAu | Alexandria | PBE | optimized geometry
data_Cs2KLiAu
_symmetry_space_group_name_H-M 'P 1'
_symmetry_Int_Tables_number 1
_symmetry_space_group_name_Hall 'P 1'
_cell_length_a 7.0210
_cell_length_b 7.0210
_cell_length_c 6.5595
_cell_angle_alpha 90.00
_cell_angle_beta 90.00
_cell_angle_gamma 90.00
loop_
_atom_site_label
_atom_site_type_symbol
_atom_site_fract_x
_atom_site_fract_y
_atom_site_fract_z
_atom_site_occupancy
Cs1 Cs 0.0000 0.5000 0.0000 1
Cs2 Cs 0.5000 0.0000 0.0000 1
K1 K 0.0000 0.0000 0.5000 1
Li1 Li 0.5000 0.5000 0.5000 1
Au1 Au 0.0000 0.0000 0.0000 1
# M_tot ... 0.02 μB/cell

Result of the stability comparison: #B is the least stable of them.

#A
# CsKNa2Au | Alexandria | PBE | optimized geometry
data_CsKNa2Au
_symmetry_space_group_name_H-M 'P 1'
_symmetry_Int_Tables_number 1
_symmetry_space_group_name_Hall 'P 1'
_cell_length_a 6.0514
_cell_length_b 6.0514
_cell_length_c 6.4595
_cell_angle_alpha 90.00
_cell_angle_beta 90.00
_cell_angle_gamma 90.00
loop_
_atom_site_label
_atom_site_type_symbol
_atom_site_fract_x
_atom_site_fract_y
_atom_site_fract_z
_atom_site_occupancy
Cs1 Cs 0.0000 0.0000 0.0000 1
K1 K 0.5000 0.5000 0.0000 1
Na1 Na 0.0000 0.5000 0.5000 1
Na2 Na 0.5000 0.0000 0.5000 1
Au1 Au 0.5000 0.5000 0.5000 1
# M_tot ... 0.00 μB/cell

#B
# CsKNa2Au | Alexandria | PBE | optimized geometry
data_CsKNa2Au
_symmetry_space_group_name_H-M 'P 1'
_symmetry_Int_Tables_number 1
_symmetry_space_group_name_Hall 'P 1'
_cell_length_a 5.9440
_cell_length_b 5.9440
_cell_length_c 6.7046
_cell_angle_alpha 90.00
_cell_angle_beta 90.00
_cell_angle_gamma 90.00
loop_
_atom_site_label
_atom_site_type_symbol
_atom_site_fract_x
_atom_site_fract_y
_atom_site_fract_z
_atom_site_occupancy
Cs1 Cs 0.0000 0.0000 0.0000 1
K1 K 0.5000 0.5000 0.0000 1
Na1 Na 0.0000 0.5000 0.5000 1
Na2 Na 0.5000 0.0000 0.5000 1
Au1 Au 0.0000 0.0000 0.5000 1
# M_tot ... 0.00 μB/cell

Result of the stability comparison: #B is the least stable of them.

#A
# CsK2NaAu | Alexandria | PBE | optimized geometry
data_CsK2NaAu
_symmetry_space_group_name_H-M 'P 1'
_symmetry_Int_Tables_number 1
_symmetry_space_group_name_Hall 'P 1'
_cell_length_a 6.6667
_cell_length_b 6.6667
_cell_length_c 6.0694
_cell_angle_alpha 90.00
_cell_angle_beta 90.00
_cell_angle_gamma 90.00
loop_
_atom_site_label
_atom_site_type_symbol
_atom_site_fract_x
_atom_site_fract_y
_atom_site_fract_z
_atom_site_occupancy
Cs1 Cs 0.0000 0.0000 0.0000 1
K1 K 0.0000 0.5000 0.5000 1
K2 K 0.5000 0.0000 0.5000 1
Na1 Na 0.5000 0.5000 0.0000 1
Au1 Au 0.5000 0.5000 0.5000 1
# M_tot ... 0.00 μB/cell

#B
# CsK2NaAu | Alexandria | PBE | optimized geometry
data_CsK2NaAu
_symmetry_space_group_name_H-M 'P 1'
_symmetry_Int_Tables_number 1
_symmetry_space_group_name_Hall 'P 1'
_cell_length_a 9.3778
_cell_length_b 5.0595
_cell_length_c 12.7138
_cell_angle_alpha 90.00
_cell_angle_beta 111.60
_cell_angle_gamma 90.00
loop_
_atom_site_label
_atom_site_type_symbol
_atom_site_fract_x
_atom_site_fract_y
_atom_site_fract_z
_atom_site_occupancy
Cs1 Cs 0.0476 0.2500 0.3528 1
Cs2 Cs 0.9524 0.7500 0.6472 1
K1 K 0.4461 0.7500 0.8549 1
K2 K 0.4655 0.7500 0.3680 1
K3 K 0.5345 0.2500 0.6320 1
K4 K 0.5539 0.2500 0.1451 1
Na1 Na 0.1522 0.7500 0.0502 1
Na2 Na 0.8478 0.2500 0.9498 1
Au1 Au 0.2827 0.7500 0.5578 1
Au2 Au 0.7173 0.2500 0.4422 1
# M_tot ... 0.00 μB/cell

#C
# CsK2NaAu | Alexandria | PBE | optimized geometry
data_CsK2NaAu
_symmetry_space_group_name_H-M 'P 1'
_symmetry_Int_Tables_number 1
_symmetry_space_group_name_Hall 'P 1'
_cell_length_a 6.8972
_cell_length_b 6.8972
_cell_length_c 5.6981
_cell_angle_alpha 90.00
_cell_angle_beta 90.00
_cell_angle_gamma 90.00
loop_
_atom_site_label
_atom_site_type_symbol
_atom_site_fract_x
_atom_site_fract_y
_atom_site_fract_z
_atom_site_occupancy
Cs1 Cs 0.0000 0.0000 0.0000 1
K1 K 0.0000 0.5000 0.5000 1
K2 K 0.5000 0.0000 0.5000 1
Na1 Na 0.5000 0.5000 0.5000 1
Au1 Au 0.5000 0.5000 0.0000 1
# M_tot ... 0.00 μB/cell

Result of the stability comparison: #C is the least stable of them.

#A
# CsK2PdAu | Alexandria | PBE | optimized geometry
data_CsK2PdAu
_symmetry_space_group_name_H-M 'P 1'
_symmetry_Int_Tables_number 1
_symmetry_space_group_name_Hall 'P 1'
_cell_length_a 6.0989
_cell_length_b 6.0989
_cell_length_c 6.6131
_cell_angle_alpha 90.00
_cell_angle_beta 90.00
_cell_angle_gamma 90.00
loop_
_atom_site_label
_atom_site_type_symbol
_atom_site_fract_x
_atom_site_fract_y
_atom_site_fract_z
_atom_site_occupancy
Cs1 Cs 0.0000 0.0000 0.0000 1
K1 K 0.0000 0.5000 0.5000 1
K2 K 0.5000 0.0000 0.5000 1
Pd1 Pd 0.0000 0.0000 0.5000 1
Au1 Au 0.5000 0.5000 0.0000 1
# M_tot ... 0.00 μB/cell

#B
# CsK2PdAu | Alexandria | PBE | optimized geometry
data_CsK2PdAu
_symmetry_space_group_name_H-M 'P 1'
_symmetry_Int_Tables_number 1
_symmetry_space_group_name_Hall 'P 1'
_cell_length_a 6.2085
_cell_length_b 6.2085
_cell_length_c 5.3740
_cell_angle_alpha 90.00
_cell_angle_beta 90.00
_cell_angle_gamma 90.00
loop_
_atom_site_label
_atom_site_type_symbol
_atom_site_fract_x
_atom_site_fract_y
_atom_site_fract_z
_atom_site_occupancy
Cs1 Cs 0.0000 0.0000 0.0000 1
K1 K 0.0000 0.5000 0.5000 1
K2 K 0.5000 0.0000 0.5000 1
Pd1 Pd 0.5000 0.5000 0.0000 1
Au1 Au 0.5000 0.5000 0.5000 1
# M_tot ... 0.00 μB/cell

#C
# CsK2PdAu | Alexandria | PBE | optimized geometry
data_CsK2PdAu
_symmetry_space_group_name_H-M 'P 1'
_symmetry_Int_Tables_number 1
_symmetry_space_group_name_Hall 'P 1'
_cell_length_a 6.0817
_cell_length_b 6.0817
_cell_length_c 5.4436
_cell_angle_alpha 90.00
_cell_angle_beta 90.00
_cell_angle_gamma 90.00
loop_
_atom_site_label
_atom_site_type_symbol
_atom_site_fract_x
_atom_site_fract_y
_atom_site_fract_z
_atom_site_occupancy
Cs1 Cs 0.0000 0.0000 0.0000 1
K1 K 0.0000 0.5000 0.5000 1
K2 K 0.5000 0.0000 0.5000 1
Pd1 Pd 0.5000 0.5000 0.5000 1
Au1 Au 0.5000 0.5000 0.0000 1
# M_tot ... 0.00 μB/cell

Result of the stability comparison: #A is the least stable of them.